{
  "formula": "K3LaAs2O8",
  "functional": "PBE",
  "state": "optimized geometry",
  "e_form_raw_ev_per_atom": -2.0038,
  "dft_energy_ev_per_atom": -6.09,
  "m_tot_mub_per_fu": 0.0,
  "vol_a3_per_cell": 252,
  "de_polymorph_ev_per_atom": 0.023,
  "sg": "P-3m1 (164)",
  "cell": [[6.089, 0.000, 0.000], [-3.044, 5.273, 0.000], [0.000, 0.000, 7.835]],
  "species": ["K", "K", "K", "La", "As", "As", "O", "O", "O", "O", "O", "O", "O", "O"],
  "fractional_positions": [[0.000, 0.000, 0.000], [0.333, 0.667, 0.697], [0.667, 0.333, 0.303], [0.000, 0.000, 0.500], [0.333, 0.667, 0.233], [0.667, 0.333, 0.767], [0.181, 0.362, 0.318], [0.181, 0.819, 0.318], [0.333, 0.667, 0.019], [0.362, 0.181, 0.682], [0.638, 0.819, 0.318], [0.667, 0.333, 0.981], [0.819, 0.181, 0.682], [0.819, 0.638, 0.682]]
}

***

{
  "formula": "KLaAs2O8",
  "functional": "PBE",
  "state": "optimized geometry",
  "e_form_raw_ev_per_atom": -1.5718,
  "dft_energy_ev_per_atom": -6.15,
  "m_tot_mub_per_fu": 2.0,
  "vol_a3_per_cell": 198,
  "sg": "I-4m2 (119)",
  "cell": [[-3.819, 3.819, 3.389], [3.819, -3.819, 3.389], [3.819, 3.819, -3.389]],
  "species": ["K", "La", "As", "As", "O", "O", "O", "O", "O", "O", "O", "O"],
  "fractional_positions": [[0.000, 0.000, 0.000], [0.250, 0.750, 0.500], [0.500, 0.500, 0.000], [0.750, 0.250, 0.500], [0.354, 0.169, 0.815], [0.354, 0.539, 0.185], [0.414, 0.085, 0.329], [0.461, 0.646, 0.815], [0.756, 0.085, 0.671], [0.831, 0.646, 0.185], [0.915, 0.244, 0.329], [0.915, 0.586, 0.671]]
}

***

{
  "formula": "K3LaAs2O8",
  "functional": "PBE",
  "state": "optimized geometry",
  "e_form_raw_ev_per_atom": -2.0270,
  "dft_energy_ev_per_atom": -6.11,
  "m_tot_mub_per_fu": 0.0,
  "vol_a3_per_cell": 469,
  "de_polymorph_ev_per_atom": 0.000,
  "sg": "P2_1 (4)",
  "cell": [[7.780, 0.000, 0.000], [0.000, 5.994, 0.000], [-0.299, 0.000, 10.066]],
  "species": ["K", "K", "K", "K", "K", "K", "La", "La", "As", "As", "As", "As", "O", "O", "O", "O", "O", "O", "O", "O", "O", "O", "O", "O", "O", "O", "O", "O"],
  "fractional_positions": [[0.008, 0.000, 0.194], [0.144, 0.513, 0.411], [0.300, 0.991, 0.915], [0.700, 0.491, 0.085], [0.856, 0.013, 0.589], [0.992, 0.500, 0.806], [0.491, 0.488, 0.710], [0.509, 0.988, 0.290], [0.260, 0.489, 0.085], [0.307, 0.014, 0.572], [0.693, 0.514, 0.428], [0.740, 0.989, 0.915], [0.044, 0.479, 0.104], [0.210, 0.992, 0.416], [0.232, 0.245, 0.656], [0.267, 0.779, 0.665], [0.315, 0.486, 0.920], [0.342, 0.731, 0.157], [0.354, 0.260, 0.163], [0.480, 0.566, 0.456], [0.520, 0.066, 0.544], [0.646, 0.760, 0.837], [0.658, 0.231, 0.843], [0.685, 0.986, 0.080], [0.733, 0.279, 0.335], [0.768, 0.745, 0.344], [0.790, 0.492, 0.584], [0.956, 0.979, 0.896]]
}

***

{
  "formula": "KLaAs2O6",
  "functional": "PBE",
  "state": "optimized geometry",
  "e_form_raw_ev_per_atom": -1.8808,
  "dft_energy_ev_per_atom": -6.39,
  "m_tot_mub_per_fu": 0.0,
  "vol_a3_per_cell": 342,
  "sg": "C2/c (15)",
  "cell": [[5.202, -5.105, 0.000], [5.202, 5.105, 0.000], [-2.730, 0.000, 6.440]],
  "species": ["K", "K", "La", "La", "As", "As", "As", "As", "O", "O", "O", "O", "O", "O", "O", "O", "O", "O", "O", "O"],
  "fractional_positions": [[0.203, 0.797, 0.750], [0.797, 0.203, 0.250], [0.394, 0.606, 0.250], [0.606, 0.394, 0.750], [0.127, 0.267, 0.755], [0.267, 0.127, 0.255], [0.733, 0.873, 0.745], [0.873, 0.733, 0.245], [0.089, 0.623, 0.304], [0.146, 0.175, 0.000], [0.175, 0.146, 0.500], [0.306, 0.460, 0.867], [0.377, 0.911, 0.196], [0.460, 0.306, 0.367], [0.540, 0.694, 0.633], [0.623, 0.089, 0.804], [0.694, 0.540, 0.133], [0.825, 0.854, 0.500], [0.854, 0.825, 0.000], [0.911, 0.377, 0.696]]
}

***

{
  "formula": "K2LaAs2O6",
  "functional": "PBE",
  "state": "optimized geometry",
  "e_form_raw_ev_per_atom": -1.9239,
  "dft_energy_ev_per_atom": -6.12,
  "m_tot_mub_per_fu": 1.0,
  "vol_a3_per_cell": 205,
  "sg": "C2/m (12)",
  "cell": [[5.041, -3.078, 0.000], [5.041, 3.078, 0.000], [-3.354, 0.000, 6.617]],
  "species": ["K", "K", "La", "As", "As", "O", "O", "O", "O", "O", "O"],
  "fractional_positions": [[0.206, 0.206, 0.172], [0.794, 0.794, 0.828], [0.000, 0.000, 0.500], [0.440, 0.440, 0.785], [0.560, 0.560, 0.215], [0.235, 0.694, 0.242], [0.260, 0.260, 0.582], [0.306, 0.765, 0.758], [0.694, 0.235, 0.242], [0.740, 0.740, 0.418], [0.765, 0.306, 0.758]]
}

***

{
  "formula": "KLaAsOs2",
  "functional": "PBE",
  "state": "optimized geometry",
  "dft_energy_ev_per_atom": -4.83,
  "formation_energy_ev_per_atom": 1.798,
  "m_tot_mub_per_fu": 4.4,
  "vol_a3_per_cell": 153,
  "sg": "P4/mmm (123)",
  "cell": [[5.089, 0.000, 0.000], [0.000, 5.089, 0.000], [0.000, 0.000, 5.908]],
  "species": ["K", "La", "As", "Os", "Os"],
  "fractional_positions": [[0.000, 0.000, 0.000], [0.500, 0.500, 0.500], [0.500, 0.500, 0.000], [0.000, 0.500, 0.500], [0.500, 0.000, 0.500]]
}